# HfZrAg3

An optimized crystal structure of HfZrAg3 (PBE, Alexandria via LeMat-Bulk).

As for the formation energy: 1.1752 eV per atom. As for the theoretical density: 7.7 Mg/m³. Its space-group type is Pm-3m.

abc: 5.032 5.032 5.032
angles: 90.00 90.00 90.00
Element x y z (fractional)
Hf1 0.000 0.000 0.000
Ag1 0.000 0.000 0.500
Ag2 0.500 0.000 0.000
Ag3 0.000 0.500 0.000
Zr1 0.500 0.500 0.500


# Hf3ZrAg

An optimized crystal structure of Hf3ZrAg (PBE, Alexandria via LeMat-Bulk).

As for the formation energy: 1.2922 eV per atom. As for the theoretical density: 9.1 Mg/m³. Its space-group type is Pm-3m.

abc: 5.118 5.118 5.118
angles: 90.00 90.00 90.00
Element x y z (fractional)
Ag1 0.500 0.500 0.500
Hf1 0.000 0.500 0.000
Hf2 0.000 0.000 0.500
Hf3 0.500 0.000 0.000
Zr1 0.000 0.000 0.000


# HfZrAg

An optimized crystal structure of HfZrAg (PBE, Alexandria via LeMat-Bulk).

As for the formation energy: -0.1110 eV per atom. As for the theoretical density: 9.9 Mg/m³. Its space-group type is I4mm.

abc: 3.240 3.240 6.466
angles: 104.51 104.51 90.00
Element x y z (fractional)
Hf1 0.330 0.330 0.659
Zr1 0.000 0.000 0.000
Ag1 0.670 0.670 0.340


# HfZr2Ag

An optimized crystal structure of HfZr2Ag (PBE, Alexandria via LeMat-Bulk).

As for the formation energy: 0.0526 eV per atom. As for the theoretical density: 9.1 Mg/m³. Its space-group type is P4/mmm.

abc: 4.415 4.390 4.390
angles: 90.00 90.00 90.00
Element x y z (fractional)
Zr1 0.000 0.000 0.500
Zr2 0.000 0.500 0.000
Hf1 0.500 0.500 0.500
Ag1 0.500 0.000 0.000


# HfZrAg

An optimized crystal structure of HfZrAg (PBE, Alexandria via LeMat-Bulk).

As for the formation energy: 0.2244 eV per atom. As for the theoretical density: 9.8 Mg/m³. Its space-group type is P3m1.

abc: 3.047 4.914 4.914
angles: 120.00 90.00 90.00
Element x y z (fractional)
Zr1 0.654 0.667 0.333
Ag1 0.207 0.333 0.667
Hf1 0.139 0.000 0.000


# HfZr2Ag

An optimized crystal structure of HfZr2Ag (PBE, Alexandria via LeMat-Bulk).

As for the formation energy: 0.4406 eV per atom. As for the theoretical density: 8.7 Mg/m³. Its space-group type is I-42d.

abc: 4.128 4.128 10.933
angles: 79.12 79.12 90.00
Element x y z (fractional)
Hf1 0.000 0.000 0.000
Hf2 0.750 0.250 0.500
Zr1 0.375 0.377 0.750
Zr2 0.875 0.873 0.750
Zr3 0.623 0.125 0.250
Zr4 0.127 0.625 0.250
Ag1 0.500 0.500 0.000
Ag2 0.250 0.750 0.500


# HfZr2Ag

An optimized crystal structure of HfZr2Ag (PBE, Alexandria via LeMat-Bulk).

As for the formation energy: -0.0818 eV per atom. As for the theoretical density: 9.0 Mg/m³. Its space-group type is P4/mmm.

abc: 3.194 3.194 8.468
angles: 90.00 90.00 90.00
Element x y z (fractional)
Zr1 0.000 0.000 0.244
Zr2 0.000 0.000 0.756
Ag1 0.500 0.500 0.000
Hf1 0.500 0.500 0.500


# AgHg

An optimized crystal structure of AgHg (PBE, Alexandria via LeMat-Bulk).

As for the formation energy: 0.0779 eV per atom. As for the theoretical density: 12.6 Mg/m³. Its space-group type is Pnma.

abc: 5.444 4.996 5.975
angles: 90.00 90.00 90.00
Element x y z (fractional)
Ag1 0.081 0.250 0.129
Ag2 0.419 0.750 0.629
Ag3 0.581 0.250 0.371
Ag4 0.919 0.750 0.871
Hg1 0.103 0.250 0.627
Hg2 0.603 0.250 0.873
Hg3 0.897 0.750 0.373
Hg4 0.397 0.750 0.127


# AgHg

An optimized crystal structure of AgHg (PBE, Alexandria via LeMat-Bulk).

As for the formation energy: 0.1969 eV per atom. As for the theoretical density: 8.2 Mg/m³. Its space-group type is I4/m.

abc: 13.000 13.000 2.963
angles: 90.00 90.00 90.00
Element x y z (fractional)
Ag1 0.740 0.843 0.500
Ag2 0.760 0.657 0.000
Ag3 0.657 0.240 0.000
Ag4 0.240 0.343 0.000
Ag5 0.157 0.740 0.500
Ag6 0.843 0.260 0.500
Ag7 0.260 0.157 0.500
Ag8 0.343 0.760 0.000
Hg1 0.741 0.055 0.500
Hg2 0.759 0.445 0.000
Hg3 0.555 0.759 0.000
Hg4 0.445 0.241 0.000
Hg5 0.945 0.741 0.500
Hg6 0.055 0.259 0.500
Hg7 0.259 0.945 0.500
Hg8 0.241 0.555 0.000


# AgHg

An optimized crystal structure of AgHg (PBE, Alexandria via LeMat-Bulk).

As for the formation energy: 0.0822 eV per atom. As for the theoretical density: 12.1 Mg/m³. Its space-group type is P2_12_12_1.

abc: 7.849 5.350 8.049
angles: 90.00 90.00 90.00
Element x y z (fractional)
Hg1 0.510 0.623 0.028
Hg2 0.808 0.895 0.655
Hg3 0.010 0.877 0.972
Hg4 0.692 0.105 0.155
Hg5 0.990 0.377 0.528
Hg6 0.308 0.605 0.345
Hg7 0.490 0.123 0.472
Hg8 0.192 0.395 0.845
Ag1 0.001 0.915 0.332
Ag2 0.694 0.606 0.352
Ag3 0.999 0.415 0.168
Ag4 0.306 0.106 0.148
Ag5 0.499 0.085 0.832
Ag6 0.194 0.894 0.648
Ag7 0.806 0.394 0.852
Ag8 0.501 0.585 0.668


# Ag11Hg9

An optimized crystal structure of Ag11Hg9 (PBE, Alexandria via LeMat-Bulk).

As for the formation energy: 0.0887 eV per atom. As for the theoretical density: 12.0 Mg/m³. Its space-group type is P3m1.

abc: 3.103 3.103 49.469
angles: 90.00 90.00 120.00
Element x y z (fractional)
Ag1 0.667 0.333 0.724
Ag2 0.000 0.000 0.380
Ag3 0.000 0.000 0.578
Ag4 0.000 0.000 0.678
Ag5 0.667 0.333 0.916
Ag6 0.000 0.000 0.182
Ag7 0.000 0.000 0.962
Ag8 0.000 0.000 0.870
Ag9 0.000 0.000 0.770
Ag10 0.000 0.000 0.281
Ag11 0.000 0.000 0.479
Hg1 0.667 0.333 0.820
Hg2 0.667 0.333 0.529
Hg3 0.667 0.333 0.231
Hg4 0.667 0.333 0.131
Hg5 0.667 0.333 0.429
Hg6 0.000 0.000 0.072
Hg7 0.667 0.333 0.330
Hg8 0.667 0.333 0.012
Hg9 0.667 0.333 0.628


# AgHg4

An optimized crystal structure of AgHg4 (PBE, Alexandria via LeMat-Bulk).

As for the formation energy: 0.1941 eV per atom. As for the theoretical density: 11.1 Mg/m³. Its space-group type is I4/mmm.

abc: 8.745 8.745 8.745
angles: 153.18 153.18 38.30
Element x y z (fractional)
Hg1 0.410 0.410 0.000
Hg2 0.750 0.250 0.500
Hg3 0.590 0.590 0.000
Hg4 0.250 0.750 0.500
Ag1 0.000 0.000 0.000


Please write out number 1 again, unchanged.
# HfZrAg3

An optimized crystal structure of HfZrAg3 (PBE, Alexandria via LeMat-Bulk).

As for the formation energy: 1.1752 eV per atom. As for the theoretical density: 7.7 Mg/m³. Its space-group type is Pm-3m.

abc: 5.032 5.032 5.032
angles: 90.00 90.00 90.00
Element x y z (fractional)
Hf1 0.000 0.000 0.000
Ag1 0.000 0.000 0.500
Ag2 0.500 0.000 0.000
Ag3 0.000 0.500 0.000
Zr1 0.500 0.500 0.500


Among the records above, which one has the highest theoretical density?
number 8